Here is Cr2Re3 after structural relaxation from the Alexandria database. Energies are from GGA-PBE.

* total magnetization: 0.13 Bohr magnetons per cell
* final energy: -0.40787 Ha/atom
* energy relative to the elements: 0.219 eV per atom
* energy above the most stable polymorph in this dataset: 169 meV/atom

Unit cell a=2.7303 b=2.7303 c=32.5126 alpha=90.00 beta=90.00 gamma=120.00
Space group R-3m (No. 166, hexagonal axes)
Asymmetric unit:
Cr  0.0000  0.0000  0.1013 x6
Re  0.0000  0.0000  0.2981 x6
Re  0.0000  0.0000  0.5000 x3



Here is ErGeW after structural relaxation from the Alexandria database. Energies are from GGA-PBE.

* total magnetization: 0.44 Bohr magnetons per cell
* final energy: -0.28586 Ha/atom
* energy relative to the elements: -0.401 eV per atom

Unit cell a=3.9100 b=3.9100 c=7.6929 alpha=90.00 beta=90.00 gamma=90.00
Space group P4/nmm (No. 129, origin choice 2)
Asymmetric unit:
Er  0.2500  0.2500  0.1445 x2
Ge  0.2500  0.2500  0.7454 x2
W  0.2500  0.7500  0.5000 x2



Here is LiPu2PaS5 after structural relaxation from the Alexandria database. Energies are from GGA-PBE.

* total magnetization: 46.88 Bohr magnetons per cell
* final energy: -0.30659 Ha/atom

Unit cell a=3.9391 b=16.3228 c=11.7563 alpha=90.00 beta=90.00 gamma=90.00
Space group Cmc2_1 (No. 36)
Asymmetric unit:
Li  0.0000  0.0210  0.0000 x4
Pu  0.0000  0.3757  0.8320 x4
Pu  0.0000  0.3958  0.2150 x4
Pa  0.0000  0.2956  0.5375 x4
S  0.0000  0.0028  0.3043 x4
S  0.0000  0.1323  0.5297 x4
S  0.0000  0.1891  0.8799 x4
S  0.0000  0.2142  0.1971 x4
S  0.0000  0.4482  0.5961 x4



Here is PmDyCdPd after structural relaxation from the Alexandria database. Energies are from GGA-PBE.

* total magnetization: 0.00 Bohr magnetons per cell
* final energy: -0.16099 Ha/atom
* energy relative to the elements: -0.516 eV per atom

Unit cell a=7.3383 b=7.3383 c=7.3383 alpha=90.00 beta=90.00 gamma=90.00
Space group F-43m (No. 216)
Asymmetric unit:
Pm  0.0000  0.0000  0.0000 x4
Dy  0.0000  0.0000  0.5000 x4
Cd  0.2500  0.2500  0.7500 x4
Pd  0.2500  0.2500  0.2500 x4



Here is SbMo2Os after structural relaxation from the Alexandria database. Energies are from GGA-PBE.

* total magnetization: 0.00 Bohr magnetons per cell
* final energy: -0.33033 Ha/atom

Unit cell a=3.0252 b=3.0252 c=7.2568 alpha=90.00 beta=90.00 gamma=90.00
Space group P4/mmm (No. 123)
Asymmetric unit:
Sb  0.0000  0.0000  0.0000 x1
Mo  0.5000  0.5000  0.2635 x2
Os  0.0000  0.0000  0.5000 x1



Here is CsCuRhO2 after structural relaxation from the Alexandria database. Energies are from GGA-PBE.

* total magnetization: 3.96 Bohr magnetons per cell
* final energy: -0.18109 Ha/atom

Unit cell a=5.1323 b=12.6986 c=5.5235 alpha=90.00 beta=90.00 gamma=90.00
Space group Cmme (No. 67)
Asymmetric unit:
Cs  0.0000  0.2500  0.2465 x4
Cu  0.0000  0.0000  0.5000 x4
Rh  0.2500  0.0000  0.0000 x4
O  0.0000  0.0924  0.7599 x8



Here is U3TiGa12 after structural relaxation from the Alexandria database. Energies are from GGA-PBE.

* total magnetization: 6.82 Bohr magnetons per cell
* final energy: -0.18894 Ha/atom
* energy relative to the elements: -0.261 eV per atom

Unit cell a=4.2089 b=4.2089 c=16.7119 alpha=90.00 beta=90.00 gamma=90.00
Space group P4/mmm (No. 123)
Asymmetric unit:
U  0.0000  0.0000  0.0000 x1
U  0.0000  0.0000  0.2586 x2
Ti  0.0000  0.0000  0.5000 x1
Ga  0.0000  0.5000  0.1289 x4
Ga  0.0000  0.5000  0.3853 x4
Ga  0.5000  0.5000  0.0000 x1
Ga  0.5000  0.5000  0.2548 x2
Ga  0.5000  0.5000  0.5000 x1



Here is AcTb5Pm2Er after structural relaxation from the Alexandria database. Energies are from GGA-PBE.

* total magnetization: 0.01 Bohr magnetons per cell
* final energy: -0.15908 Ha/atom
* energy relative to the elements: 0.263 eV per atom

Unit cell a=8.8819 b=8.8819 c=15.5609 alpha=90.00 beta=90.00 gamma=90.00
Space group I4/mcm (No. 140)
Asymmetric unit:
Ac  0.0000  0.0000  0.2500 x4
Tb  0.0000  0.0000  0.0000 x4
Tb  0.2059  0.2941  0.1325 x16
Pm  0.1162  0.3838  0.5000 x8
Er  0.0000  0.5000  0.2500 x4



Here is ZrNiCl2 after structural relaxation from the Alexandria database. Energies are from GGA-PBE.

* total magnetization: 0.00 Bohr magnetons per cell
* final energy: -0.17552 Ha/atom
* energy above the most stable polymorph in this dataset: 654 meV/atom

Unit cell a=3.3830 b=4.2868 c=5.1124 alpha=90.00 beta=92.76 gamma=90.00
Space group P2/m (No. 10)
Asymmetric unit:
Zr  0.0000  0.0000  0.0000 x1
Ni  0.5000  0.0000  0.5000 x1
Cl  0.2430  0.5000  0.2519 x2



Here is Li2MoW after structural relaxation from the Alexandria database. Energies are from GGA-PBE.

* total magnetization: 0.00 Bohr magnetons per cell
* final energy: -0.23732 Ha/atom
* energy relative to the elements: 0.445 eV per atom
* energy above the most stable polymorph in this dataset: 209 meV/atom

Unit cell a=2.5171 b=4.3749 c=5.8591 alpha=90.00 beta=90.00 gamma=90.00
Space group Pmm2 (No. 25)
Asymmetric unit:
Li  0.0000  0.0000  0.0000 x1
Li  0.5000  0.5000  0.2228 x1
Mo  0.0000  0.0000  0.5095 x1
W  0.5000  0.5000  0.7172 x1



Here is ZrAl2VRu after structural relaxation from the Alexandria database. Energies are from GGA-PBE.

* total magnetization: 0.50 Bohr magnetons per cell
* final energy: -0.19549 Ha/atom
* energy relative to the elements: 1.566 eV per atom

Unit cell a=5.0542 b=5.0542 c=4.6138 alpha=90.00 beta=90.00 gamma=90.00
Space group P4/mmm (No. 123)
Asymmetric unit:
Zr  0.0000  0.0000  0.0000 x1
Al  0.0000  0.5000  0.0000 x2
V  0.5000  0.5000  0.5000 x1
Ru  0.0000  0.0000  0.5000 x1



Here is MgNbAg after structural relaxation from the Alexandria database. Energies are from GGA-PBE.

* total magnetization: 0.00 Bohr magnetons per cell
* final energy: -0.16267 Ha/atom
* energy relative to the elements: 0.412 eV per atom
* energy above the most stable polymorph in this dataset: 357 meV/atom

Unit cell a=3.7707 b=3.7707 c=8.2381 alpha=90.00 beta=90.00 gamma=90.00
Space group P4/nmm (No. 129, origin choice 2)
Asymmetric unit:
Mg  0.2500  0.7500  0.0000 x2
Nb  0.2500  0.2500  0.4193 x2
Ag  0.2500  0.2500  0.7550 x2



Here is FePRh2 after structural relaxation from the Alexandria database. Energies are from GGA-PBE.

* total magnetization: 2.45 Bohr magnetons per cell
* final energy: -0.26957 Ha/atom
* energy relative to the elements: -0.191 eV per atom

Unit cell a=2.8044 b=2.8044 c=6.4680 alpha=90.00 beta=90.00 gamma=90.00
Space group P4mm (No. 99)
Asymmetric unit:
Fe  0.0000  0.0000  0.0000 x1
P  0.5000  0.5000  0.1928 x1
Rh  0.0000  0.0000  0.4209 x1
Rh  0.5000  0.5000  0.7341 x1



Here is Pm3As4Pd4 after structural relaxation from the Alexandria database. Energies are from GGA-PBE.

* total magnetization: 0.00 Bohr magnetons per cell
* final energy: -0.21747 Ha/atom
* energy relative to the elements: -1.043 eV per atom

Unit cell a=4.2921 b=7.1374 c=14.2585 alpha=90.00 beta=90.00 gamma=90.00
Space group Immm (No. 71)
Asymmetric unit:
Pm  0.0000  0.0000  0.0000 x2
Pm  0.0000  0.5000  0.1295 x4
As  0.0000  0.0000  0.2154 x4
As  0.0000  0.1952  0.5000 x4
Pd  0.0000  0.3017  0.3289 x8



Here is Ce3SmTh2Te6 after structural relaxation from the Alexandria database. Energies are from GGA-PBE.

* total magnetization: 6.55 Bohr magnetons per cell
* final energy: -0.21820 Ha/atom

Unit cell a=7.7273 b=13.3535 c=7.7797 alpha=90.00 beta=109.25 gamma=90.00
Space group C2/m (No. 12)
Asymmetric unit:
Ce  0.0000  0.0000  0.0000 x2
Ce  0.0000  0.3321  0.0000 x4
Sm  0.0000  0.5000  0.5000 x2
Th  0.0000  0.1661  0.5000 x4
Te  0.2462  0.5000  0.2488 x4
Te  0.2480  0.3348  0.7493 x8



Here is KFeCo after structural relaxation from the Alexandria database. Energies are from GGA-PBE.

* total magnetization: 4.72 Bohr magnetons per cell
* final energy: -0.15751 Ha/atom
* energy relative to the elements: 1.269 eV per atom
* energy above the most stable polymorph in this dataset: 852 meV/atom

Unit cell a=4.9023 b=4.9023 c=2.6380 alpha=90.00 beta=90.00 gamma=120.00
Space group P3m1 (No. 156)
Asymmetric unit:
K  0.0000  0.0000  0.0000 x1
Fe  0.3333  0.6667  0.5875 x1
Co  0.6667  0.3333  0.3896 x1



Here is Al2CdGeC after structural relaxation from the Alexandria database. Energies are from GGA-PBE.

* total magnetization: 0.00 Bohr magnetons per cell
* final energy: -0.14551 Ha/atom
* energy relative to the elements: 0.489 eV per atom

Unit cell a=3.9840 b=3.9840 c=5.1456 alpha=90.00 beta=90.00 gamma=90.00
Space group P4/mmm (No. 123)
Asymmetric unit:
Al  0.0000  0.5000  0.0000 x2
Cd  0.0000  0.0000  0.5000 x1
Ge  0.5000  0.5000  0.5000 x1
C  0.0000  0.0000  0.0000 x1



Here is Ga2TeI8 after structural relaxation from the Alexandria database. Energies are from GGA-PBE.

* total magnetization: 0.00 Bohr magnetons per cell
* final energy: -0.08516 Ha/atom
* energy above the most stable polymorph in this dataset: 3 meV/atom

Unit cell a=14.3767 b=9.6204 c=8.4318 alpha=90.00 beta=96.65 gamma=90.00
Space group C2/m (No. 12)
Asymmetric unit:
Ga  0.2144  0.0000  0.3268 x4
Te  0.0000  0.0000  0.0000 x2
I  0.1138  0.5000  0.7079 x4
I  0.1300  0.2138  0.1611 x8
I  0.1676  0.0000  0.6069 x4



Here is InP2HO after structural relaxation from the Alexandria database. Energies are from GGA-PBE.

* total magnetization: 2.19 Bohr magnetons per cell
* final energy: -0.11316 Ha/atom
* energy above the most stable polymorph in this dataset: 1011 meV/atom

Unit cell a=5.2494 b=5.2494 c=4.1713 alpha=90.00 beta=90.00 gamma=90.00
Space group P4/mmm (No. 123)
Asymmetric unit:
In  0.0000  0.0000  0.0000 x1
P  0.0000  0.5000  0.0000 x2
H  0.5000  0.5000  0.5000 x1
O  0.0000  0.0000  0.5000 x1



Here is La3Pm4Th2 after structural relaxation from the Alexandria database. Energies are from GGA-PBE.

* total magnetization: 0.00 Bohr magnetons per cell
* final energy: -0.19520 Ha/atom
* energy relative to the elements: 0.091 eV per atom
* energy above the most stable polymorph in this dataset: 27 meV/atom

Unit cell a=3.6220 b=3.6220 c=27.6371 alpha=90.00 beta=90.00 gamma=120.00
Space group P3m1 (No. 156)
Asymmetric unit:
La  0.0000  0.0000  0.0000 x1
La  0.0000  0.0000  0.3387 x1
La  0.6667  0.3333  0.6720 x1
Pm  0.0000  0.0000  0.5596 x1
Pm  0.0000  0.0000  0.7845 x1
Pm  0.6667  0.3333  0.2313 x1
Pm  0.6667  0.3333  0.4535 x1
Th  0.6667  0.3333  0.1098 x1
Th  0.6667  0.3333  0.8905 x1



Here is ScTc4Te after structural relaxation from the Alexandria database. Energies are from GGA-PBE.

* total magnetization: 0.00 Bohr magnetons per cell
* final energy: -0.30661 Ha/atom

Unit cell a=7.4572 b=7.4572 c=7.4572 alpha=90.00 beta=90.00 gamma=90.00
Space group F-43m (No. 216)
Asymmetric unit:
Sc  0.0000  0.0000  0.0000 x4
Tc  0.1244  0.1244  0.6244 x16
Te  0.2500  0.2500  0.2500 x4



Here is Tb4Pr8Mg after structural relaxation from the Alexandria database. Energies are from GGA-PBE.

* total magnetization: 0.00 Bohr magnetons per cell
* final energy: -0.15920 Ha/atom
* energy relative to the elements: 0.156 eV per atom

Unit cell a=7.2489 b=7.2489 c=30.3236 alpha=90.00 beta=90.00 gamma=120.00
Space group R-3m (No. 166, hexagonal axes)
Asymmetric unit:
Tb  0.0000  0.0000  0.0000 x3
Tb  0.0000  0.5000  0.0000 x9
Pr  0.0000  0.0000  0.2198 x6
Pr  0.0110  0.5055  0.7604 x18
Mg  0.0000  0.0000  0.5000 x3



Here is Ca3In4Ag4 after structural relaxation from the Alexandria database. Energies are from GGA-PBE.

* total magnetization: 0.00 Bohr magnetons per cell
* final energy: -0.10643 Ha/atom
* energy relative to the elements: -0.318 eV per atom

Unit cell a=4.5954 b=7.7241 c=15.5330 alpha=90.00 beta=90.00 gamma=90.00
Space group Immm (No. 71)
Asymmetric unit:
Ca  0.0000  0.0000  0.0000 x2
Ca  0.0000  0.5000  0.1255 x4
In  0.0000  0.3014  0.3295 x8
Ag  0.0000  0.0000  0.2175 x4
Ag  0.0000  0.1851  0.5000 x4



Here is Ba2ZrRu after structural relaxation from the Alexandria database. Energies are from GGA-PBE.

* total magnetization: 4.21 Bohr magnetons per cell
* final energy: -0.16805 Ha/atom
* energy relative to the elements: 0.845 eV per atom
* energy above the most stable polymorph in this dataset: 742 meV/atom

Unit cell a=4.9526 b=4.9838 c=10.0482 alpha=90.00 beta=90.00 gamma=90.00
Space group Cmmm (No. 65)
Asymmetric unit:
Ba  0.0000  0.0000  0.1986 x4
Zr  0.0000  0.5000  0.5000 x2
Ru  0.0000  0.5000  0.0000 x2



Here is Pa3SnB after structural relaxation from the Alexandria database. Energies are from GGA-PBE.

* total magnetization: 0.00 Bohr magnetons per cell
* final energy: -0.29362 Ha/atom
* energy relative to the elements: -0.156 eV per atom

Unit cell a=4.8842 b=4.8842 c=4.8842 alpha=90.00 beta=90.00 gamma=90.00
Space group Pm-3m (No. 221)
Asymmetric unit:
Pa  0.0000  0.0000  0.5000 x3
Sn  0.5000  0.5000  0.5000 x1
B  0.0000  0.0000  0.0000 x1